No. 1
VASP calculation (PBE) on ZrIn2Ag after structural relaxation.

The space group is P2/m (No. 10) and the conventional cell measures 3.1299, 4.6100 and 6.1565 Å, with angles of 90.00, 93.47 and 90.00 degrees. The asymmetric unit holds Zr at (0.0000, 0.0000, 0.0000), In at (0.4539, 0.5000, 0.7571) and Ag at (0.5000, 0.0000, 0.5000).

Its formation energy is -0.118 eV/atom.

No. 2
VASP calculation (PBE) on ZrIn3Ag after structural relaxation.

The space group is Pm-3m (No. 221) and the conventional cell measures 5.5818, 5.5818 and 5.5818 Å, with angles of 90.00, 90.00 and 90.00 degrees. The asymmetric unit holds Zr at (0.0000, 0.0000, 0.0000), In at (0.0000, 0.0000, 0.5000) and Ag at (0.5000, 0.5000, 0.5000).

As for the relative energy among the computed polymorphs: 12.2 kJ/mol of atoms. Its formation energy is 0.739 eV/atom.

No. 3
VASP calculation (PBE) on ZrIn2Ag after structural relaxation.

The space group is R3m (No. 160, hexagonal axes) and the conventional cell measures 3.2021, 3.2021 and 30.5385 Å, with angles of 90.00, 90.00 and 120.00 degrees. The asymmetric unit holds Zr at (0.0000, 0.0000, 0.0000), In at (0.0000, 0.0000, 0.2493), In at (0.0000, 0.0000, 0.4926) and Ag at (0.0000, 0.0000, 0.7463).

Its formation energy is 0.012 eV/atom.

No. 4
VASP calculation (PBE) on Zr2InAg after structural relaxation.

The space group is Cmmm (No. 65) and the conventional cell measures 5.9782, 8.7636 and 3.2309 Å, with angles of 90.00, 90.00 and 90.00 degrees. The asymmetric unit holds Zr at (0.2500, 0.2500, 0.0000), In at (0.0000, 0.0000, 0.5000) and Ag at (0.0000, 0.5000, 0.5000).

Its formation energy is -0.171 eV/atom.

No. 5
VASP calculation (PBE) on Zr2InAg after structural relaxation.

The space group is Cm (No. 8) and the conventional cell measures 10.9007, 3.2924 and 5.1825 Å, with angles of 90.00, 112.85 and 90.00 degrees. The asymmetric unit holds Zr at (0.0000, 0.0000, 0.0000), Zr at (0.2455, 0.0000, 0.8228), In at (0.4795, 0.0000, 0.4825) and Ag at (0.2446, 0.5000, 0.3295).

Its formation energy is -0.143 eV/atom.

No. 6
VASP calculation (PBE) on ZrIn2Ag2 after structural relaxation.

The space group is P4/mbm (No. 127) and the conventional cell measures 8.2261, 8.2261 and 3.1225 Å, with angles of 90.00, 90.00 and 90.00 degrees. The asymmetric unit holds Zr at (0.0000, 0.0000, 0.0000), In at (0.1408, 0.3592, 0.0000) and Ag at (0.1591, 0.6591, 0.5000).

As for the relative energy among the computed polymorphs: 3.9 kJ/mol of atoms. Its formation energy is 0.044 eV/atom.

No. 7
VASP calculation (PBE) on ZrIn2Ag after structural relaxation.

The space group is I-42d (No. 122) and the conventional cell measures 7.8033, 7.8033 and 6.1267 Å, with angles of 90.00, 90.00 and 90.00 degrees. The asymmetric unit holds Zr at (0.0000, 0.0000, 0.0000), In at (0.2251, 0.7500, 0.6250) and Ag at (0.0000, 0.0000, 0.5000).

Its formation energy is 0.091 eV/atom.

No. 8
VASP calculation (PBE) on ZrInAg3 after structural relaxation.

The space group is Pm-3m (No. 221) and the conventional cell measures 5.3696, 5.3696 and 5.3696 Å, with angles of 90.00, 90.00 and 90.00 degrees. The asymmetric unit holds Zr at (0.0000, 0.0000, 0.0000), In at (0.5000, 0.5000, 0.5000) and Ag at (0.0000, 0.0000, 0.5000).

As for the relative energy among the computed polymorphs: 103.9 kJ/mol of atoms. Its formation energy is 1.004 eV/atom.

No. 9
VASP calculation (PBE) on ZrIn2Ag after structural relaxation.

The space group is Cm (No. 8) and the conventional cell measures 11.5615, 3.0198 and 5.5174 Å, with angles of 90.00, 113.94 and 90.00 degrees. The asymmetric unit holds Zr at (0.0000, 0.0000, 0.0000), In at (0.2535, 0.0000, 0.9446), In at (0.4954, 0.0000, 0.4999) and Ag at (0.2399, 0.5000, 0.4268).

Its formation energy is -0.096 eV/atom.

No. 10
VASP calculation (PBE) on ZrIn2Ag after structural relaxation.

The space group is Cmmm (No. 65) and the conventional cell measures 6.4252, 8.8255 and 3.0706 Å, with angles of 90.00, 90.00 and 90.00 degrees. The asymmetric unit holds Zr at (0.0000, 0.0000, 0.0000), In at (0.2500, 0.2500, 0.5000) and Ag at (0.0000, 0.5000, 0.0000).

Its formation energy is -0.149 eV/atom.

No. 11
VASP calculation (PBE) on Zr2InAg after structural relaxation.

The space group is P4mm (No. 99) and the conventional cell measures 3.2048, 3.2048 and 8.4438 Å, with angles of 90.00, 90.00 and 90.00 degrees. The asymmetric unit holds Zr at (0.0000, 0.0000, 0.0000), Zr at (0.5000, 0.5000, 0.2647), In at (0.5000, 0.5000, 0.7350) and Ag at (0.0000, 0.0000, 0.5079).

Its formation energy is -0.128 eV/atom.

No. 12
VASP calculation (PBE) on Zr2InAg after structural relaxation.

The space group is I-42d (No. 122) and the conventional cell measures 7.9898, 7.9898 and 5.7094 Å, with angles of 90.00, 90.00 and 90.00 degrees. The asymmetric unit holds Zr at (0.2348, 0.2500, 0.1250), In at (0.0000, 0.0000, 0.5000) and Ag at (0.0000, 0.0000, 0.0000).

Its formation energy is 0.191 eV/atom.

No. 13
VASP calculation (PBE) on Zr3In4Ag2 after structural relaxation.

The space group is C2/m (No. 12) and the conventional cell measures 10.5360, 4.7992 and 8.9139 Å, with angles of 90.00, 121.01 and 90.00 degrees. The asymmetric unit holds Zr at (0.0000, 0.0000, 0.0000), Zr at (0.1643, 0.5000, 0.6684), In at (0.0662, 0.0000, 0.3940), In at (0.2126, 0.5000, 0.0550) and Ag at (0.1081, 0.5000, 0.2786).

Its formation energy is -0.180 eV/atom.

No. 14
VASP calculation (PBE) on Zr2InAg after structural relaxation.

The space group is P4/mmm (No. 123) and the conventional cell measures 3.1473, 3.1473 and 8.5118 Å, with angles of 90.00, 90.00 and 90.00 degrees. The asymmetric unit holds Zr at (0.0000, 0.0000, 0.2423), In at (0.5000, 0.5000, 0.5000) and Ag at (0.5000, 0.5000, 0.0000).

Its formation energy is -0.181 eV/atom.

Computed values of DFT total energy (unit: eV/atom) for the preceding records, in sequence: -4.337, -3.184, -4.207, -5.842, -5.814, -3.901, -4.128, -2.964, -4.315, -4.368, -5.799, -5.481, -4.880, -5.852.